Cr2CuGeW: optimized geometry, PBE.

Properties
**E_tot**: -6.804 eV/atom
**Density of states at the Fermi level**: 0.916 states/eV per atom

Cell lengths 4.506, 4.506, 4.241 Å; angles 90.00, 90.00, 90.00 degrees
Space group P4/mmm (No. 123)
Unique sites:
1 Cr 0.000 0.500 0.000 x2
2 Cu 0.000 0.000 0.000 x1
3 Ge 0.000 0.000 0.500 x1
4 W 0.500 0.500 0.500 x1

=====

Tb6Ce2PrTm3: optimized geometry, PBE.

Properties
**E_tot**: -4.766 eV/atom
**Density of states at the Fermi level**: 1.917 states/eV per atom

Cell lengths 6.142, 10.641, 11.764 Å; angles 90.00, 100.04, 90.00 degrees
Space group C2/m (No. 12)
Unique sites:
1 Tb 0.247 0.168 0.248 x8
2 Tb 0.248 0.000 0.752 x4
3 Ce 0.000 0.167 0.500 x4
4 Pr 0.000 0.500 0.500 x2
5 Tm 0.000 0.000 0.000 x2
6 Tm 0.000 0.334 0.000 x4

=====

ZrTaIN2: optimized geometry, PBE.

Properties
**Energy above the most stable polymorph in this dataset**: 0 meV/atom
**Raw formation energy**: 456 meV per atom
**Density of states at the Fermi level**: 0.678 states/eV per atom

Cell lengths 4.101, 4.101, 5.484 Å; angles 90.00, 90.00, 90.00 degrees
Space group P4/mmm (No. 123)
Unique sites:
1 Zr 0.000 0.000 0.000 x1
2 Ta 0.500 0.500 0.500 x1
3 I 0.500 0.500 0.000 x1
4 N 0.000 0.500 0.500 x2

=====

LaMnMo2: optimized geometry, PBE.

Properties
**Energy above the most stable polymorph in this dataset**: 220 meV/atom
**Density of states at the Fermi level**: 1.075 states/eV per atom

Cell lengths 3.245, 4.722, 9.310 Å; angles 90.00, 90.00, 90.00 degrees
Space group Cmmm (No. 65)
Unique sites:
1 La 0.000 0.000 0.000 x2
2 Mn 0.000 0.000 0.500 x2
3 Mo 0.000 0.500 0.296 x4